Gd2HoBi GGA-PBE optimized geometry; E above lowest polymorph = 0.0 meV/atom
1.0
4.126 0.000 0.000
0.000 4.126 0.000
0.000 0.000 7.162
Gd Bi Ho
2 1 1
direct
0.000 0.000 0.769
0.000 0.000 0.231
0.500 0.500 0.000
0.500 0.500 0.500

***

GdHo2Bi GGA-PBE optimized geometry; E above lowest polymorph = 13.2 meV/atom
1.0
4.094 0.000 0.000
0.000 4.094 0.000
0.000 0.000 7.166
Gd Bi Ho
1 1 2
direct
0.500 0.500 0.500
0.500 0.500 0.000
0.000 0.000 0.767
0.000 0.000 0.233

***

Number 1: final energy -38.2 eV for the cell shown, DFT formation energy -1.6 eV per formula unit. Number 2: final energy -28.5 eV for the cell shown, DFT formation energy -1.4 eV per formula unit.